A plane-wave DFT calculation with PBE-GGA was carried out for an optimized crystal structure of K2RbMgHg.

a b c (Å): 6.8630 6.8630 5.5065
angles (deg): 90.00 90.00 90.00
Space group P4/mmm (No. 123)
Symmetry-distinct sites (fractional):
1 K 0.0000 0.5000 0.0000 [2 per cell]
2 Rb 0.0000 0.0000 0.5000 [1 per cell]
3 Mg 0.5000 0.5000 0.5000 [1 per cell]
4 Hg 0.5000 0.5000 0.0000 [1 per cell]

Energy relative to the elements: -0.005 eV per atom
ΔE to the lowest computed polymorph: 0 meV/atom
Crystal system: tetragonal
Electronic total energy: -1.02 eV per atom